[1]
{"formula": "PaTeH2", "functional": "PBE-GGA", "state": "relaxed", "crystal_system": "orthorhombic", "total_energy_ev_per_atom": -5.399, "total_magnetization_mub_per_fu": 1.00, "dos_ef_per_ev_fu": 4.36, "spacegroup": "Cmcm", "relative_energy_kcal_per_mol_atoms": 1.252, "lattice": [[2.0003, -5.6881, 0.0000], [2.0003, 5.6881, 0.0000], [0.0000, 0.0000, 5.9139]], "species": ["Pa", "Pa", "Te", "Te", "H", "H", "H", "H"], "frac_coords": [[0.2065, 0.7935, 0.7500], [0.7935, 0.2065, 0.2500], [0.0806, 0.9194, 0.2500], [0.9194, 0.0806, 0.7500], [0.3107, 0.6893, 0.0690], [0.3107, 0.6893, 0.4310], [0.6893, 0.3107, 0.5690], [0.6893, 0.3107, 0.9310]]}

***

[2]
{"formula": "RbNa3Sb", "functional": "PBE-GGA", "state": "relaxed", "crystal_system": "cubic", "total_energy_ev_per_atom": -2.030, "total_magnetization_mub_per_fu": 0.00, "dos_ef_per_ev_fu": 4.27, "spacegroup": "Pm-3m", "relative_energy_kcal_per_mol_atoms": 1.223, "lattice": [[6.0990, 0.0000, 0.0000], [0.0000, 6.0990, 0.0000], [0.0000, 0.0000, 6.0990]], "species": ["Rb", "Na", "Na", "Na", "Sb"], "frac_coords": [[0.0000, 0.0000, 0.0000], [0.0000, 0.5000, 0.5000], [0.5000, 0.0000, 0.5000], [0.5000, 0.5000, 0.0000], [0.5000, 0.5000, 0.5000]]}

***

[3]
{"formula": "PrHo6Er3Tm2", "functional": "PBE-GGA", "state": "relaxed", "crystal_system": "monoclinic", "total_energy_ev_per_atom": -4.552, "total_magnetization_mub_per_fu": 0.00, "dos_ef_per_ev_fu": 15.76, "spacegroup": "C2/m", "lattice": [[3.0550, -5.2849, 0.0000], [3.0550, 5.2849, 0.0000], [-2.0271, 0.0000, 11.5231]], "species": ["Pr", "Ho", "Ho", "Ho", "Ho", "Ho", "Ho", "Er", "Er", "Er", "Tm", "Tm"], "frac_coords": [[0.0000, 0.0000, 0.0000], [0.0843, 0.4187, 0.2519], [0.2503, 0.2503, 0.7484], [0.4187, 0.0843, 0.2519], [0.5813, 0.9157, 0.7481], [0.7497, 0.7497, 0.2516], [0.9157, 0.5813, 0.7481], [0.1671, 0.8329, 0.5000], [0.5000, 0.5000, 0.5000], [0.8329, 0.1671, 0.5000], [0.3333, 0.6667, 0.0000], [0.6667, 0.3333, 0.0000]]}

***

[4]
{"formula": "TbTl2", "functional": "PBE-GGA", "state": "relaxed", "crystal_system": "orthorhombic", "total_energy_ev_per_atom": -3.332, "total_magnetization_mub_per_fu": 0.00, "dos_ef_per_ev_fu": 1.74, "spacegroup": "Cmcm", "lattice": [[2.4734, -7.8923, 0.0000], [2.4734, 7.8923, 0.0000], [0.0000, 0.0000, 4.2952]], "species": ["Tb", "Tb", "Tl", "Tl", "Tl", "Tl"], "frac_coords": [[0.0917, 0.9083, 0.7500], [0.9083, 0.0917, 0.2500], [0.2633, 0.7367, 0.2500], [0.4262, 0.5738, 0.7500], [0.5738, 0.4262, 0.2500], [0.7367, 0.2633, 0.7500]]}

***

[5]
{"formula": "Sm9Tl2Hg", "functional": "PBE-GGA", "state": "relaxed", "crystal_system": "tetragonal", "total_energy_ev_per_atom": -4.144, "total_magnetization_mub_per_fu": 2.15, "dos_ef_per_ev_fu": 16.91, "spacegroup": "P4/mmm", "lattice": [[4.9320, 0.0000, 0.0000], [0.0000, 4.9320, 0.0000], [0.0000, 0.0000, 14.7462]], "species": ["Sm", "Sm", "Sm", "Sm", "Sm", "Sm", "Sm", "Sm", "Sm", "Tl", "Tl", "Hg"], "frac_coords": [[0.0000, 0.0000, 0.0000], [0.0000, 0.0000, 0.3303], [0.0000, 0.0000, 0.6697], [0.0000, 0.5000, 0.1640], [0.0000, 0.5000, 0.5000], [0.0000, 0.5000, 0.8360], [0.5000, 0.0000, 0.1640], [0.5000, 0.0000, 0.5000], [0.5000, 0.0000, 0.8360], [0.5000, 0.5000, 0.3328], [0.5000, 0.5000, 0.6672], [0.5000, 0.5000, 0.0000]]}

***

[6]
{"formula": "SrMnPb2", "functional": "PBE-GGA", "state": "relaxed", "crystal_system": "monoclinic", "total_energy_ev_per_atom": -4.432, "total_magnetization_mub_per_fu": 4.08, "dos_ef_per_ev_fu": 3.14, "spacegroup": "Pm", "lattice": [[3.7273, 0.0000, 0.0000], [0.0000, 5.6232, 0.0000], [-0.0252, 0.0000, 5.8019]], "species": ["Sr", "Mn", "Pb", "Pb"], "frac_coords": [[0.0000, 0.0000, 0.0000], [0.5210, 0.5000, 0.3055], [0.4951, 0.5000, 0.8068], [0.4974, 0.0000, 0.4868]]}

***

[7]
{"formula": "Tb2Sm4Tm3", "functional": "PBE-GGA", "state": "relaxed", "crystal_system": "orthorhombic", "total_energy_ev_per_atom": -4.571, "total_magnetization_mub_per_fu": 0.00, "dos_ef_per_ev_fu": 11.67, "spacegroup": "Cccm", "relative_energy_kcal_per_mol_atoms": 0.000, "lattice": [[4.8765, -8.4273, 0.0000], [4.8765, 8.4273, 0.0000], [0.0000, 0.0000, 7.0167]], "species": ["Tb", "Tb", "Tb", "Tb", "Sm", "Sm", "Sm", "Sm", "Sm", "Sm", "Sm", "Sm", "Tm", "Tm", "Tm", "Tm", "Tm", "Tm"], "frac_coords": [[0.0320, 0.3502, 0.0000], [0.3502, 0.0320, 0.5000], [0.6498, 0.9680, 0.5000], [0.9680, 0.6498, 0.0000], [0.0310, 0.6816, 0.5000], [0.3179, 0.3521, 0.5000], [0.3184, 0.9690, 0.0000], [0.3521, 0.3179, 0.0000], [0.6479, 0.6821, 0.0000], [0.6816, 0.0310, 0.0000], [0.6821, 0.6479, 0.5000], [0.9690, 0.3184, 0.5000], [0.0000, 0.0000, 0.2500], [0.0000, 0.0000, 0.7500], [0.3312, 0.6688, 0.2500], [0.3312, 0.6688, 0.7500], [0.6688, 0.3312, 0.2500], [0.6688, 0.3312, 0.7500]]}

***

[8]
{"formula": "La6AuCl8", "functional": "PBE-GGA", "state": "relaxed", "crystal_system": "trigonal", "total_energy_ev_per_atom": -4.965, "total_magnetization_mub_per_fu": 0.39, "dos_ef_per_ev_fu": 8.59, "spacegroup": "R-3", "lattice": [[3.6010, 2.0790, 10.3601], [-3.6010, 2.0790, 10.3601], [0.0000, -4.1581, 10.3601]], "species": ["La", "La", "La", "La", "La", "La", "Au", "Cl", "Cl", "Cl", "Cl", "Cl", "Cl", "Cl", "Cl"], "frac_coords": [[0.1045, 0.4445, 0.7830], [0.2170, 0.8955, 0.5555], [0.4445, 0.7830, 0.1045], [0.5555, 0.2170, 0.8955], [0.7830, 0.1045, 0.4445], [0.8955, 0.5555, 0.2170], [0.5000, 0.5000, 0.5000], [0.0671, 0.7133, 0.3894], [0.1666, 0.1666, 0.1666], [0.2867, 0.6106, 0.9329], [0.3894, 0.0671, 0.7133], [0.6106, 0.9329, 0.2867], [0.7133, 0.3894, 0.0671], [0.8334, 0.8334, 0.8334], [0.9329, 0.2867, 0.6106]]}

***

[9]
{"formula": "Pm2Zn3Cd", "functional": "PBE-GGA", "state": "relaxed", "crystal_system": "orthorhombic", "total_energy_ev_per_atom": -2.703, "total_magnetization_mub_per_fu": 0.00, "dos_ef_per_ev_fu": 5.69, "spacegroup": "Fmmm", "relative_energy_kcal_per_mol_atoms": 0.000, "lattice": [[0.0000, 4.6849, 8.0905], [3.5950, 0.0000, 8.0905], [3.5950, 4.6849, 0.0000]], "species": ["Pm", "Pm", "Pm", "Pm", "Zn", "Zn", "Zn", "Zn", "Zn", "Zn", "Cd", "Cd"], "frac_coords": [[0.2491, 0.7509, 0.7509], [0.2500, 0.2500, 0.2500], [0.7500, 0.7500, 0.7500], [0.7509, 0.2491, 0.2491], [0.1624, 0.1624, 0.8376], [0.1624, 0.6750, 0.3250], [0.3250, 0.8376, 0.1624], [0.6750, 0.1624, 0.8376], [0.8376, 0.3250, 0.6750], [0.8376, 0.8376, 0.1624], [0.3336, 0.3336, 0.6664], [0.6664, 0.6664, 0.3336]]}

***

[10]
{"formula": "YBAs", "functional": "PBE-GGA", "state": "relaxed", "crystal_system": "monoclinic", "total_energy_ev_per_atom": -6.469, "total_magnetization_mub_per_fu": 0.00, "dos_ef_per_ev_fu": 0.94, "spacegroup": "C2/m", "lattice": [[6.6614, -1.6017, 0.0000], [6.6614, 1.6017, 0.0000], [-0.0486, 0.0000, 5.2109]], "species": ["Y", "Y", "B", "B", "As", "As"], "frac_coords": [[0.0986, 0.0986, 0.2438], [0.9014, 0.9014, 0.7562], [0.2732, 0.2732, 0.0206], [0.7268, 0.7268, 0.9794], [0.4015, 0.4015, 0.2685], [0.5985, 0.5985, 0.7315]]}

***

[11]
{"formula": "HoLuHgOs", "functional": "PBE-GGA", "state": "relaxed", "crystal_system": "cubic", "total_energy_ev_per_atom": -5.457, "total_magnetization_mub_per_fu": 0.00, "dos_ef_per_ev_fu": 3.23, "spacegroup": "F-43m", "lattice": [[0.0000, 3.5029, 3.5029], [3.5029, 0.0000, 3.5029], [3.5029, 3.5029, 0.0000]], "species": ["Ho", "Lu", "Hg", "Os"], "frac_coords": [[0.0000, 0.0000, 0.0000], [0.5000, 0.5000, 0.5000], [0.2500, 0.2500, 0.2500], [0.7500, 0.7500, 0.7500]]}

***

[12]
{"formula": "InCoRe2", "functional": "PBE-GGA", "state": "relaxed", "crystal_system": "monoclinic", "total_energy_ev_per_atom": -8.148, "total_magnetization_mub_per_fu": 1.30, "dos_ef_per_ev_fu": 4.02, "spacegroup": "P2/m", "lattice": [[2.7632, 0.0000, 0.0000], [0.0000, 4.4106, 0.0000], [-1.2321, 0.0000, 5.0319]], "species": ["In", "Co", "Re", "Re"], "frac_coords": [[0.0000, 0.0000, 0.0000], [0.5000, 0.0000, 0.5000], [0.3022, 0.5000, 0.7369], [0.6978, 0.5000, 0.2631]]}

***

[13]
{"formula": "Cs2Ag2SnCl7", "functional": "PBE-GGA", "state": "relaxed", "crystal_system": "monoclinic", "total_energy_ev_per_atom": -3.041, "total_magnetization_mub_per_fu": 0.00, "dos_ef_per_ev_fu": 3.75, "spacegroup": "C2/m", "lattice": [[3.6939, -3.6948, 0.0000], [3.6939, 3.6948, 0.0000], [-3.6660, 0.0000, 13.2536]], "species": ["Cs", "Cs", "Ag", "Ag", "Sn", "Cl", "Cl", "Cl", "Cl", "Cl", "Cl", "Cl"], "frac_coords": [[0.1767, 0.1767, 0.3529], [0.8233, 0.8233, 0.6471], [0.4043, 0.4043, 0.8092], [0.5957, 0.5957, 0.1908], [0.0000, 0.0000, 0.0000], [0.0761, 0.5781, 0.1512], [0.3081, 0.3081, 0.6165], [0.4219, 0.9239, 0.8488], [0.5000, 0.5000, 0.0000], [0.5781, 0.0761, 0.1512], [0.6919, 0.6919, 0.3835], [0.9239, 0.4219, 0.8488]]}

***

[14]
{"formula": "VFeS", "functional": "PBE-GGA", "state": "relaxed", "crystal_system": "hexagonal", "total_energy_ev_per_atom": -7.547, "total_magnetization_mub_per_fu": 0.43, "dos_ef_per_ev_fu": 2.39, "spacegroup": "P-6m2", "relative_energy_kcal_per_mol_atoms": 0.000, "lattice": [[3.7247, 0.0000, 0.0000], [-1.8624, 3.2257, 0.0000], [0.0000, 0.0000, 2.9712]], "species": ["V", "Fe", "S"], "frac_coords": [[0.0000, 0.0000, 0.0000], [0.6667, 0.3333, 0.5000], [0.3333, 0.6667, 0.5000]]}

***

[15]
{"formula": "LaPm3Zn8", "functional": "PBE-GGA", "state": "relaxed", "crystal_system": "trigonal", "total_energy_ev_per_atom": -2.757, "total_magnetization_mub_per_fu": 0.00, "dos_ef_per_ev_fu": 6.75, "spacegroup": "P3m1", "lattice": [[5.6952, 0.0000, 0.0000], [-2.8476, 4.9322, 0.0000], [0.0000, 0.0000, 8.7528]], "species": ["La", "Pm", "Pm", "Pm", "Zn", "Zn", "Zn", "Zn", "Zn", "Zn", "Zn", "Zn"], "frac_coords": [[0.0000, 0.0000, 0.0000], [0.0000, 0.0000, 0.3982], [0.6667, 0.3333, 0.5040], [0.6667, 0.3333, 0.8941], [0.0011, 0.5005, 0.2011], [0.1707, 0.3413, 0.6962], [0.1707, 0.8293, 0.6962], [0.3333, 0.6667, 0.4461], [0.3333, 0.6667, 0.9504], [0.4995, 0.5005, 0.2011], [0.4995, 0.9989, 0.2011], [0.6587, 0.8293, 0.6962]]}

***

[16]
{"formula": "CaNi5H", "functional": "PBE-GGA", "state": "relaxed", "crystal_system": "orthorhombic", "total_energy_ev_per_atom": -5.020, "total_magnetization_mub_per_fu": 1.78, "dos_ef_per_ev_fu": 6.94, "spacegroup": "Cmm2", "relative_energy_kcal_per_mol_atoms": 0.000, "lattice": [[2.4351, -4.4478, 0.0000], [2.4351, 4.4478, 0.0000], [0.0000, 0.0000, 3.9628]], "species": ["Ca", "Ni", "Ni", "Ni", "Ni", "Ni", "H"], "frac_coords": [[0.0000, 0.0000, 0.0000], [0.0000, 0.5000, 0.5017], [0.3200, 0.6800, 0.0043], [0.5000, 0.0000, 0.5017], [0.5000, 0.5000, 0.4972], [0.6800, 0.3200, 0.0043], [0.5000, 0.5000, 0.9214]]}

***

[17]
{"formula": "LaNbAl2Cd", "functional": "PBE-GGA", "state": "relaxed", "crystal_system": "tetragonal", "total_energy_ev_per_atom": -2.965, "total_magnetization_mub_per_fu": 3.22, "dos_ef_per_ev_fu": 6.18, "spacegroup": "P4/mmm", "lattice": [[5.4610, 0.0000, 0.0000], [0.0000, 5.4610, 0.0000], [0.0000, 0.0000, 5.6856]], "species": ["La", "Nb", "Al", "Al", "Cd"], "frac_coords": [[0.0000, 0.0000, 0.0000], [0.5000, 0.5000, 0.5000], [0.0000, 0.5000, 0.0000], [0.5000, 0.0000, 0.0000], [0.0000, 0.0000, 0.5000]]}

***

[18]
{"formula": "Sb2Te", "functional": "PBE-GGA", "state": "relaxed", "crystal_system": "trigonal", "total_energy_ev_per_atom": -3.777, "total_magnetization_mub_per_fu": 0.00, "dos_ef_per_ev_fu": 1.98, "spacegroup": "P-3m1", "relative_energy_kcal_per_mol_atoms": 1.947, "lattice": [[4.4155, 0.0000, 0.0000], [-2.2077, 3.8239, 0.0000], [0.0000, 0.0000, 5.5249]], "species": ["Sb", "Sb", "Te"], "frac_coords": [[0.3333, 0.6667, 0.3477], [0.6667, 0.3333, 0.6523], [0.0000, 0.0000, 0.0000]]}

***

[19]
{"formula": "PrNiPtPb", "functional": "PBE-GGA", "state": "relaxed", "crystal_system": "cubic", "total_energy_ev_per_atom": -5.465, "total_magnetization_mub_per_fu": 0.00, "dos_ef_per_ev_fu": 2.45, "spacegroup": "F-43m", "lattice": [[0.0000, 3.4813, 3.4813], [3.4813, 0.0000, 3.4813], [3.4813, 3.4813, 0.0000]], "species": ["Pr", "Ni", "Pt", "Pb"], "frac_coords": [[0.0000, 0.0000, 0.0000], [0.2500, 0.2500, 0.2500], [0.7500, 0.7500, 0.7500], [0.5000, 0.5000, 0.5000]]}

***

[20]
{"formula": "SnBiAu2", "functional": "PBE-GGA", "state": "relaxed", "crystal_system": "orthorhombic", "total_energy_ev_per_atom": -3.733, "total_magnetization_mub_per_fu": 0.00, "dos_ef_per_ev_fu": 1.64, "spacegroup": "Pmmn", "lattice": [[4.5078, 0.0000, 0.0000], [0.0000, 5.6603, 0.0000], [0.0000, 0.0000, 7.8899]], "species": ["Sn", "Sn", "Bi", "Bi", "Au", "Au", "Au", "Au"], "frac_coords": [[0.2500, 0.2500, 0.0870], [0.7500, 0.7500, 0.9130], [0.2500, 0.7500, 0.4183], [0.7500, 0.2500, 0.5817], [0.2500, 0.9998, 0.7667], [0.2500, 0.5002, 0.7667], [0.7500, 0.0002, 0.2333], [0.7500, 0.4998, 0.2333]]}